DFT (PBE) results for a relaxed structure of NbZnCu3.

abc: 4.808 4.808 4.808
angles: 90.00 90.00 90.00
Positions (direct):
Cu  0.500  0.000  0.000
Cu  0.000  0.500  0.000
Cu  0.000  0.000  0.500
Nb  0.000  0.000  0.000
Zn  0.500  0.500  0.500

Computed properties:
The value obtained for the size of the total moment is 0.00 μB/cell. Its space-group type is Pm-3m (221). As for the formation energy: 1.45 eV/atom. The energy above the most stable polymorph in this dataset is 59.31 kJ per mole of atoms.


DFT (PBE) results for a relaxed structure of Pm5Sm3Dy.

abc: 6.266 11.056 11.751
angles: 124.50 90.00 106.46
Positions (direct):
Sm  0.400  0.356  0.327
Sm  0.600  0.644  0.673
Sm  0.956  0.356  0.827
Sm  0.000  0.000  0.000
Sm  0.044  0.644  0.173
Sm  0.000  0.000  0.500
Pm  0.583  0.000  0.250
Pm  0.008  0.642  0.475
Pm  0.537  0.724  0.376
Pm  0.463  0.276  0.624
Pm  0.417  0.000  0.750
Pm  0.634  0.642  0.975
Pm  0.187  0.724  0.876
Pm  0.992  0.358  0.525
Pm  0.366  0.358  0.025
Pm  0.813  0.276  0.124
Dy  0.905  0.000  0.750
Dy  0.095  0.000  0.250

Computed properties:
The value obtained for the size of the total moment is 0.00 μB/cell. Its space-group type is C2/c (15). As for the formation energy: 0.27 eV/atom. The energy above the most stable polymorph in this dataset is 0.00 kJ per mole of atoms.


DFT (PBE) results for a relaxed structure of Y3P2S.

abc: 3.987 5.638 6.895
angles: 114.13 106.81 90.00
Positions (direct):
Y  0.171  0.671  0.841
Y  0.500  0.000  0.500
Y  0.829  0.329  0.159
P  0.834  0.834  0.169
P  0.166  0.166  0.831
S  0.500  0.500  0.500

Computed properties:
The value obtained for the size of the total moment is 0.00 μB/cell. For the uncorrected formation energy, the calculation gives -10.94 eV per formula unit. Its space-group type is Immm (71).


DFT (PBE) results for a relaxed structure of PrCd2Bi2.

abc: 4.626 4.632 13.342
angles: 90.00 99.98 90.00
Positions (direct):
Pr  0.651  0.750  0.301
Pr  0.349  0.250  0.699
Cd  0.041  0.750  0.082
Cd  0.959  0.250  0.918
Cd  0.462  0.750  0.924
Cd  0.538  0.250  0.076
Bi  0.130  0.250  0.259
Bi  0.250  0.750  0.500
Bi  0.750  0.250  0.500
Bi  0.870  0.750  0.741

Computed properties:
The value obtained for the size of the total moment is 0.00 μB/cell. Its space-group type is Cmcm (63). As for the formation energy: -0.38 eV/atom.


DFT (PBE) results for a relaxed structure of Pm3Ga2Cu3.

abc: 6.056 7.492 15.037
angles: 90.00 90.00 90.00
Positions (direct):
Ga  0.355  0.357  0.600
Ga  0.855  0.143  0.400
Ga  0.645  0.643  0.400
Ga  0.355  0.357  0.900
Ga  0.145  0.857  0.600
Ga  0.855  0.143  0.100
Ga  0.145  0.857  0.900
Ga  0.645  0.643  0.100
Pm  0.357  0.993  0.393
Pm  0.857  0.507  0.607
Pm  0.118  0.147  0.750
Pm  0.857  0.507  0.893
Pm  0.643  0.007  0.607
Pm  0.882  0.853  0.250
Pm  0.143  0.493  0.107
Pm  0.643  0.007  0.893
Pm  0.618  0.353  0.250
Pm  0.382  0.647  0.750
Pm  0.143  0.493  0.393
Pm  0.357  0.993  0.107
Cu  0.420  0.660  0.964
Cu  0.920  0.840  0.464
Cu  0.394  0.715  0.250
Cu  0.920  0.840  0.036
Cu  0.580  0.340  0.464
Cu  0.080  0.160  0.964
Cu  0.106  0.215  0.250
Cu  0.894  0.785  0.750
Cu  0.420  0.660  0.536
Cu  0.080  0.160  0.536
Cu  0.580  0.340  0.036
Cu  0.606  0.285  0.750

Computed properties:
The value obtained for the size of the total moment is 0.00 μB/cell. Its space-group type is Pnma (62). As for the formation energy: -0.37 eV/atom. The energy above the most stable polymorph in this dataset is 1.94 kJ per mole of atoms.


DFT (PBE) results for a relaxed structure of CdPOF2.

abc: 4.536 4.536 3.467
angles: 90.00 90.00 90.00
Positions (direct):
O  0.000  0.000  0.500
F  0.500  0.000  0.000
F  0.000  0.500  0.000
Cd  0.500  0.500  0.500
P  0.000  0.000  0.000

Computed properties:
The value obtained for the size of the total moment is 0.00 μB/cell. For the uncorrected formation energy, the calculation gives -5.15 eV per formula unit. Its space-group type is P4/mmm (123). The energy above the most stable polymorph in this dataset is 0.00 kJ per mole of atoms.


DFT (PBE) results for a relaxed structure of Cd2AgAu4.

abc: 9.489 5.553 6.130
angles: 116.93 90.00 90.00
Positions (direct):
Ag  0.000  0.000  0.000
Ag  0.500  0.500  0.000
Cd  0.000  0.347  0.694
Cd  0.000  0.653  0.306
Cd  0.500  0.153  0.306
Cd  0.500  0.847  0.694
Au  0.250  0.509  0.500
Au  0.750  0.491  0.500
Au  0.250  0.009  0.500
Au  0.750  0.991  0.500
Au  0.229  0.308  0.000
Au  0.729  0.192  0.000
Au  0.771  0.692  0.000
Au  0.271  0.808  0.000

Computed properties:
The value obtained for the size of the total moment is 0.00 μB/cell. Its space-group type is Cmce (64). As for the formation energy: -0.05 eV/atom. The energy above the most stable polymorph in this dataset is 0.00 kJ per mole of atoms.


DFT (PBE) results for a relaxed structure of Rb3Ga2P2.

abc: 5.615 3.979 10.371
angles: 101.06 105.71 90.00
Positions (direct):
Rb  0.813  0.313  0.627
Rb  0.000  0.000  0.000
Rb  0.187  0.687  0.373
P  0.370  0.870  0.739
P  0.630  0.130  0.261
Ga  0.563  0.563  0.126
Ga  0.437  0.437  0.874

Computed properties:
The value obtained for the size of the total moment is 0.00 μB/cell. Its space-group type is Immm (71). As for the formation energy: -0.34 eV/atom.


> Which formula does entry 1 have?

NbZnCu3


Repeat the third record exactly.
DFT (PBE) results for a relaxed structure of Y3P2S.

abc: 3.987 5.638 6.895
angles: 114.13 106.81 90.00
Positions (direct):
Y  0.171  0.671  0.841
Y  0.500  0.000  0.500
Y  0.829  0.329  0.159
P  0.834  0.834  0.169
P  0.166  0.166  0.831
S  0.500  0.500  0.500

Computed properties:
The value obtained for the size of the total moment is 0.00 μB/cell. For the uncorrected formation energy, the calculation gives -10.94 eV per formula unit. Its space-group type is Immm (71).


Repeat the third record exactly.
DFT (PBE) results for a relaxed structure of Y3P2S.

abc: 3.987 5.638 6.895
angles: 114.13 106.81 90.00
Positions (direct):
Y  0.171  0.671  0.841
Y  0.500  0.000  0.500
Y  0.829  0.329  0.159
P  0.834  0.834  0.169
P  0.166  0.166  0.831
S  0.500  0.500  0.500

Computed properties:
The value obtained for the size of the total moment is 0.00 μB/cell. For the uncorrected formation energy, the calculation gives -10.94 eV per formula unit. Its space-group type is Immm (71).